(1)
DFT (PBE) results for crystalline NdGd2Ga3AgPt2 at its relaxed geometry.

Cell: 3.875 7.529 7.529 Å, 120.27 90.00 90.00°
Atoms (fractional coordinates):
Gd: 0.000 0.590 0.001
Gd: 0.000 0.001 0.590
Ga: 0.500 0.736 0.736
Ga: 0.500 0.998 0.266
Ga: 0.500 0.266 0.998
Pt: 0.500 0.671 0.332
Pt: 0.500 0.332 0.671
Ag: 0.000 0.997 0.997
Nd: 0.000 0.410 0.410

Output
* SG: No. 38
* raw total energy: -45.81 eV for the cell shown



(2)
DFT (PBE) results for crystalline Pr3HgC at its relaxed geometry.

Cell: 9.037 3.796 15.575 Å, 90.00 90.00 90.00°
Atoms (fractional coordinates):
Pr: 0.527 0.250 0.902
Pr: 0.027 0.250 0.598
Pr: 0.176 0.250 0.003
Pr: 0.824 0.750 0.997
Pr: 0.973 0.750 0.402
Pr: 0.786 0.250 0.198
Pr: 0.714 0.750 0.698
Pr: 0.286 0.250 0.302
Pr: 0.324 0.750 0.503
Pr: 0.214 0.750 0.802
Pr: 0.676 0.250 0.497
Pr: 0.473 0.750 0.098
C: 0.845 0.750 0.554
C: 0.345 0.750 0.946
C: 0.655 0.250 0.054
C: 0.155 0.250 0.446
Hg: 0.085 0.750 0.173
Hg: 0.585 0.750 0.327
Hg: 0.915 0.250 0.827
Hg: 0.415 0.250 0.673

Output
* SG: No. 62
* raw total energy: -100.31 eV for the cell shown



(3)
DFT (PBE) results for crystalline BeOsAu at its relaxed geometry.

Cell: 3.930 3.930 3.930 Å, 60.00 60.00 60.00°
Atoms (fractional coordinates):
Be: 0.000 0.000 0.000
Au: 0.250 0.250 0.250
Os: 0.750 0.750 0.750

Output
* SG: No. 216
* raw total energy: -16.82 eV for the cell shown
* energy above the lowest structure with this stoichiometry: 0 meV/atom



(4)
DFT (PBE) results for crystalline TmMgGa at its relaxed geometry.

Cell: 4.698 4.698 4.698 Å, 60.00 60.00 60.00°
Atoms (fractional coordinates):
Ga: 0.000 0.000 0.000
Tm: 0.750 0.750 0.750
Mg: 0.250 0.250 0.250

Output
* SG: No. 216
* raw total energy: -10.02 eV for the cell shown
* energy above the lowest structure with this stoichiometry: 151 meV/atom



(5)
DFT (PBE) results for crystalline HfFeOs2 at its relaxed geometry.

Cell: 4.416 4.416 4.416 Å, 60.00 60.00 60.00°
Atoms (fractional coordinates):
Hf: 0.500 0.500 0.500
Os: 0.000 0.000 0.000
Os: 0.750 0.750 0.750
Fe: 0.250 0.250 0.250

Output
* SG: No. 216
* raw total energy: -40.51 eV for the cell shown
* formation energy: 5 kJ/mol of atoms



(6)
DFT (PBE) results for crystalline RbLuCoS3 at its relaxed geometry.

Cell: 10.206 7.683 7.683 Å, 29.10 90.00 90.00°
Atoms (fractional coordinates):
Co: 0.000 0.466 0.466
Co: 0.500 0.534 0.534
S: 0.686 0.616 0.616
S: 0.814 0.384 0.384
S: 0.314 0.616 0.616
S: 0.000 0.054 0.054
S: 0.186 0.384 0.384
S: 0.500 0.946 0.946
Rb: 0.000 0.742 0.742
Rb: 0.500 0.258 0.258
Lu: 0.250 0.000 0.000
Lu: 0.750 0.000 0.000

Output
* SG: No. 63
* raw total energy: -65.40 eV for the cell shown
* energy above the lowest structure with this stoichiometry: 15 meV/atom



Number 1: volume 21.08 Å³ per atom. Number 2: volume 26.71 Å³ per atom. Number 3: volume 14.30 Å³ per atom. Number 4: volume 24.43 Å³ per atom. Number 5: volume 15.22 Å³ per atom. Number 6: volume 24.41 Å³ per atom.